Here is crystalline YZn3Ag9 at its relaxed geometry from Alexandria via LeMat-Bulk. Energies are from PBE.

```
YZn3Ag9
1.0
2.653 -6.667 0.000
2.653 6.667 0.000
-2.326 0.000 6.696
Y Zn Ag
1 3 9
direct
0.000 0.000 0.000 Y
0.000 0.500 0.000 Zn
0.500 0.000 0.000 Zn
0.500 0.500 0.500 Zn
0.000 0.000 0.500 Ag
0.023 0.667 0.658 Ag
0.301 0.517 0.788 Ag
0.333 0.977 0.342 Ag
0.483 0.699 0.212 Ag
0.517 0.301 0.788 Ag
0.667 0.023 0.658 Ag
0.699 0.483 0.212 Ag
0.977 0.333 0.342 Ag
```

## Properties
For the magnetization, the calculation gives 0.0 μB per cell. Its total energy is -2.874 eV/atom. The value obtained for the calculated volume is 18.2 Å³ per atom. For the density of states at the Fermi level, the calculation gives 4.87 states/eV/f.u. The energy of formation is -137 kJ/mol of formula units.